The following is a PBE calculation of an optimized crystal structure of Pm2Y3Te6, from the Alexandria database.

## Properties
For the energy above the lowest structure with this stoichiometry, the calculation gives 9.85 kJ per mole of atoms. The theoretical density is 5998 kg/m³. The uncorrected energy is -5.6793 eV per atom. The value obtained for the magnetic moment is 0.00 μB per formula unit. The value obtained for the volume is 1098.3 Å³ per cell.

Cell: 4.4324 4.4324 64.5524 Å, 90.00 90.00 120.00°
With the nearest neighbours (Å) after each atom.
Space group R-3m (No. 166, hexagonal axes)
Unique sites:
Pm  0.0000  0.0000  0.0536 x6  6 Te 3.05-3.28
Y  0.0000  0.0000  0.2201 x6  6 Te 3.08-3.13
Y  0.0000  0.0000  0.5000 x3  6 Te 3.09
Te  0.0000  0.0000  0.1398 x6  6 Y 3.08-3.09
Te  0.0000  0.0000  0.3055 x6  3 Pm 3.05
Te  0.0000  0.0000  0.4187 x6  3 Y 3.13, 3 Pm 3.28